1.
Crystalline TiNb2Cl at its relaxed geometry, computed with PBE.

The space group is Fm-3m (No. 225) and the conventional cell measures 6.515, 6.515 and 6.515 Å, with angles of 90.00, 90.00 and 90.00 degrees. The inequivalent atoms are Ti at (0.000, 0.000, 0.000), Nb at (0.250, 0.250, 0.250) and Cl at (0.000, 0.000, 0.500).


2.
Crystalline TiNbCl3 at its relaxed geometry, computed with PBE.

The space group is Pm-3m (No. 221) and the conventional cell measures 4.828, 4.828 and 4.828 Å, with angles of 90.00, 90.00 and 90.00 degrees. The inequivalent atoms are Ti at (0.000, 0.000, 0.000), Nb at (0.500, 0.500, 0.500) and Cl at (0.000, 0.000, 0.500).


3.
Crystalline Ti3NbCl at its relaxed geometry, computed with PBE.

The space group is Pm-3m (No. 221) and the conventional cell measures 4.454, 4.454 and 4.454 Å, with angles of 90.00, 90.00 and 90.00 degrees. The inequivalent atoms are Ti at (0.000, 0.000, 0.500), Nb at (0.500, 0.500, 0.500) and Cl at (0.000, 0.000, 0.000).


4.
Crystalline TiNbCl2 at its relaxed geometry, computed with PBE.

The space group is R-3m (No. 166, hexagonal axes) and the conventional cell measures 3.0494, 3.0494 and 25.6553 Å, with angles of 90.00, 90.00 and 120.00 degrees. The inequivalent atoms are Ti at (0.0000, 0.0000, 0.0000), Nb at (0.0000, 0.0000, 0.5000) and Cl at (0.0000, 0.0000, 0.4011).


5.
Crystalline Ti2Nb2Cl7 at its relaxed geometry, computed with PBE.

The space group is C2/c (No. 15) and the conventional cell measures 10.464, 8.452 and 12.577 Å, with angles of 90.00, 92.95 and 90.00 degrees. The inequivalent atoms are Ti at (0.208, 0.216, 0.181), Nb at (0.148, 0.140, 0.990), Cl at (0.000, 0.269, 0.250), Cl at (0.091, 0.141, 0.554), Cl at (0.133, 0.417, 0.922) and Cl at (0.248, 0.001, 0.320).


6.
Crystalline TiNb2Cl at its relaxed geometry, computed with PBE.

The space group is I-42d (No. 122) and the conventional cell measures 3.832, 3.832 and 20.080 Å, with angles of 90.00, 90.00 and 90.00 degrees. The inequivalent atoms are Ti at (0.000, 0.000, 0.000), Nb at (0.246, 0.250, 0.125) and Cl at (0.000, 0.000, 0.500).


Record-wise spin magnetization values, in Bohr magnetons per cell: 0.000, 4.260, 0.000, 0.000, 12.101, 0.000
Record-wise total energy values, in eV/atom: -6.801, -4.759, -7.036, -5.942, -5.453, -7.023